## MnB2PdO (GGA+U)

Data for an optimized crystal structure of MnB2PdO.

```
MnB2PdO
1.0
3.831 0.000 0.000
0.000 3.831 0.000
0.000 0.000 4.094
Mn B Pd O
1 2 1 1
Cartesian
0.000 0.000 0.000
0.000 1.916 2.047
1.916 0.000 2.047
1.916 1.916 0.000
1.916 1.916 2.047
```

Properties
**Space group**: P4/mmm (123)
**Crystal system**: tetragonal
**Calculated total energy**: -5.101 eV per atom